No. 1
Compound: Zr5Sb
Source: the Alexandria database
Functional: GGA-PBEsol
Structure: optimized geometry

Cell: 7.3407 7.3407 4.2906 Å, 90.00 90.00 145.69°
Sites, in units of the cell vectors:
Zr (0.0000, 0.0000, 0.0000)
Zr (0.1658, 0.8342, 0.5000)
Zr (0.3314, 0.6686, 0.0000)
Zr (0.6686, 0.3314, 0.0000)
Zr (0.8342, 0.1658, 0.5000)
Sb (0.5000, 0.5000, 0.5000)

* crystal system: orthorhombic
* uncorrected energy: -51.769 eV per formula unit
* density of states at the Fermi level: 1.020 states/eV/atom
* V: 130 Å³ per cell

***

No. 2
Compound: Cr2SbRh
Source: the Alexandria database
Functional: GGA-PBEsol
Structure: optimized geometry

Cell: 2.8465 3.9764 5.2173 Å, 90.00 90.00 90.00°
Sites, in units of the cell vectors:
Cr (0.0000, 0.0000, 0.1930)
Cr (0.0000, 0.0000, 0.8070)
Sb (0.5000, 0.5000, 0.5000)
Rh (0.5000, 0.5000, 0.0000)

* crystal system: orthorhombic
* uncorrected energy: -32.201 eV per formula unit
* density of states at the Fermi level: 1.113 states/eV/atom
* V: 59 Å³ per cell

***

No. 3
Compound: GaSi3Te
Source: the Alexandria database
Functional: GGA-PBEsol
Structure: optimized geometry

Cell: 4.7603 4.7603 4.7603 Å, 90.00 90.00 90.00°
Sites, in units of the cell vectors:
Ga (0.0000, 0.0000, 0.0000)
Si (0.0000, 0.0000, 0.5000)
Si (0.0000, 0.5000, 0.0000)
Si (0.5000, 0.0000, 0.0000)
Te (0.5000, 0.5000, 0.5000)

* energy relative to the lowest polymorph listed for this composition: 0.000 eV/atom
* crystal system: cubic
* density of states at the Fermi level: 0.577 states/eV/atom
* V: 108 Å³ per cell

***

No. 4
Compound: LaIO2F
Source: the Alexandria database
Functional: GGA-PBEsol
Structure: optimized geometry

Cell: 4.5534 4.5534 3.9625 Å, 90.00 90.00 90.00°
Sites, in units of the cell vectors:
La (0.0000, 0.0000, 0.0000)
I (0.5000, 0.5000, 0.0000)
O (0.0000, 0.5000, 0.5000)
O (0.5000, 0.0000, 0.5000)
F (0.5000, 0.5000, 0.5000)

* crystal system: tetragonal
* uncorrected energy: -23.670 eV per formula unit
* density of states at the Fermi level: 0.257 states/eV/atom
* V: 82 Å³ per cell

***

No. 5
Compound: LiReAg2
Source: the Alexandria database
Functional: GGA-PBEsol
Structure: optimized geometry

Cell: 2.6196 4.7018 4.9651 Å, 90.00 90.00 90.00°
Sites, in units of the cell vectors:
Li (0.0000, 0.0000, 0.0000)
Re (0.0000, 0.5000, 0.3534)
Ag (0.5000, 0.0000, 0.4893)
Ag (0.5000, 0.5000, 0.8545)

* energy relative to the lowest polymorph listed for this composition: 0.051 eV/atom
* crystal system: orthorhombic
* energy of formation: 1.41 eV/f.u.
* density of states at the Fermi level: 0.740 states/eV/atom
* V: 61 Å³ per cell

***

No. 6
Compound: AsAu5
Source: the Alexandria database
Functional: GGA-PBEsol
Structure: optimized geometry

Cell: 4.8048 7.6119 7.6119 Å, 21.75 90.00 90.00°
Sites, in units of the cell vectors:
As (0.0000, 0.0000, 0.0000)
Au (0.0000, 0.3326, 0.3326)
Au (0.0000, 0.6652, 0.6652)
Au (0.5000, 0.1105, 0.1105)
Au (0.5000, 0.4438, 0.4438)
Au (0.5000, 0.7770, 0.7770)

* crystal system: orthorhombic
* energy of formation: 0.50 eV/f.u.
* density of states at the Fermi level: 0.300 states/eV/atom
* V: 103 Å³ per cell

***

No. 7
Compound: ZnCdP2
Source: the Alexandria database
Functional: GGA-PBEsol
Structure: optimized geometry

Cell: 3.0367 3.0367 7.2115 Å, 90.00 90.00 90.00°
Sites, in units of the cell vectors:
Zn (0.0000, 0.0000, 0.0000)
Cd (0.0000, 0.0000, 0.5000)
P (0.5000, 0.5000, 0.2214)
P (0.5000, 0.5000, 0.7786)

* energy relative to the lowest polymorph listed for this composition: 0.047 eV/atom
* crystal system: tetragonal
* energy of formation: 1.60 eV/f.u.
* density of states at the Fermi level: 0.396 states/eV/atom
* V: 67 Å³ per cell

***

No. 8
Compound: BePtRh2
Source: the Alexandria database
Functional: GGA-PBEsol
Structure: optimized geometry

Cell: 2.7304 2.7304 6.5957 Å, 90.00 90.00 90.00°
Sites, in units of the cell vectors:
Be (0.0000, 0.0000, 0.0000)
Pt (0.0000, 0.0000, 0.5000)
Rh (0.5000, 0.5000, 0.2059)
Rh (0.5000, 0.5000, 0.7941)

* crystal system: tetragonal
* energy of formation: -1.23 eV/f.u.
* density of states at the Fermi level: 1.036 states/eV/atom
* V: 49 Å³ per cell

***

> Among the records above, which one has the highest density of states at the Fermi level?

Cr2SbRh

***

Repeat the fourth record exactly.
Compound: LaIO2F
Source: the Alexandria database
Functional: GGA-PBEsol
Structure: optimized geometry

Cell: 4.5534 4.5534 3.9625 Å, 90.00 90.00 90.00°
Sites, in units of the cell vectors:
La (0.0000, 0.0000, 0.0000)
I (0.5000, 0.5000, 0.0000)
O (0.0000, 0.5000, 0.5000)
O (0.5000, 0.0000, 0.5000)
F (0.5000, 0.5000, 0.5000)

* crystal system: tetragonal
* uncorrected energy: -23.670 eV per formula unit
* density of states at the Fermi level: 0.257 states/eV/atom
* V: 82 Å³ per cell

***

> Which value of density of states at the Fermi level does entry 8 give?

1.036 states/eV/atom

***

> The lowest density of states at the Fermi level belongs to which entry?

LaIO2F